1.
# GGA-PBE GaGeAs3, optimized geometry
# Offset from the most stable computed form (meV/atom): 0
# D(E_F) (states/eV/cell): 3.98
data_GaGeAs3
_cell_length_a 4.989
_cell_length_b 4.989
_cell_length_c 4.989
_cell_angle_alpha 90.00
_cell_angle_beta 90.00
_cell_angle_gamma 90.00
_space_group_name_H-M_alt 'P m -3 m'
_space_group_IT_number 221
_space_group_name_Hall '-P 4 2 3'
loop_
_atom_site_label
_atom_site_type_symbol
_atom_site_fract_x
_atom_site_fract_y
_atom_site_fract_z
_atom_site_occupancy
Ga1 Ga 0.000 0.000 0.000 1
Ge1 Ge 0.500 0.500 0.500 1
As1 As 0.000 0.500 0.500 1

2.
# GGA-PBE Sc4InAu2, optimized geometry
# Offset from the most stable computed form (meV/atom): 0
# D(E_F) (states/eV/cell): 20.20
data_Sc4InAu2
_cell_length_a 4.8092
_cell_length_b 4.8092
_cell_length_c 23.1343
_cell_angle_alpha 90.00
_cell_angle_beta 90.00
_cell_angle_gamma 120.00
_space_group_name_H-M_alt 'R -3 m'
_space_group_IT_number 166
_space_group_name_Hall '-R 3 2"'
loop_
_atom_site_label
_atom_site_type_symbol
_atom_site_fract_x
_atom_site_fract_y
_atom_site_fract_z
_atom_site_occupancy
Sc1 Sc 0.0000 0.0000 0.1131 1
Sc2 Sc 0.0000 0.0000 0.3683 1
In1 In 0.0000 0.0000 0.5000 1
Au1 Au 0.0000 0.0000 0.2467 1

3.
# GGA-PBE Mg2CdRe, optimized geometry
# E_tot (eV/f.u.): -15.46
# D(E_F) (states/eV/cell): 9.91
data_Mg2CdRe
_cell_length_a 2.9211
_cell_length_b 2.9211
_cell_length_c 30.1573
_cell_angle_alpha 90.00
_cell_angle_beta 90.00
_cell_angle_gamma 120.00
_space_group_name_H-M_alt 'R -3 m'
_space_group_IT_number 166
_space_group_name_Hall '-R 3 2"'
loop_
_atom_site_label
_atom_site_type_symbol
_atom_site_fract_x
_atom_site_fract_y
_atom_site_fract_z
_atom_site_occupancy
Mg1 Mg 0.0000 0.0000 0.2421 1
Cd1 Cd 0.0000 0.0000 0.0000 1
Re1 Re 0.0000 0.0000 0.5000 1

no.,volume (Å³ per atom)
1,24.83
2,22.07
3,18.57